YMgTl | PBE | relaxed

**Formation energy**: 0.25 eV/atom

a b c (Å): 7.2204 7.2204 7.2204
angles (deg): 90.00 90.00 90.00
Space group F-43m (No. 216)
One atom of each set of equivalent atoms:
Y1 0.0000 0.0000 0.0000 (multiplicity 4)
Mg1 0.2500 0.2500 0.7500 (multiplicity 4)
Tl1 0.2500 0.2500 0.2500 (multiplicity 4)


CaBiIN2 | PBE | relaxed

**Formation energy (no corrections)**: 821 meV per atom
**Energy relative to the lowest polymorph listed for this composition**: 0.000 eV per atom

a b c (Å): 4.4990 4.4990 6.2595
angles (deg): 90.00 90.00 90.00
Space group P4/mmm (No. 123)
One atom of each set of equivalent atoms:
Ca1 0.0000 0.0000 0.0000 (multiplicity 1)
Bi1 0.5000 0.5000 0.5000 (multiplicity 1)
I1 0.5000 0.5000 0.0000 (multiplicity 1)
N1 0.0000 0.5000 0.5000 (multiplicity 2)


LiNiRhPb | PBE | relaxed

**Formation energy**: -0.09 eV/atom

a b c (Å): 6.2656 6.2656 6.2656
angles (deg): 90.00 90.00 90.00
Space group F-43m (No. 216)
One atom of each set of equivalent atoms:
Li1 0.0000 0.0000 0.0000 (multiplicity 4)
Ni1 0.2500 0.2500 0.7500 (multiplicity 4)
Rh1 0.2500 0.2500 0.2500 (multiplicity 4)
Pb1 0.0000 0.0000 0.5000 (multiplicity 4)


GeMoSe3 | PBE | relaxed

**Formation energy (no corrections)**: 876 meV per atom
**Energy relative to the lowest polymorph listed for this composition**: 0.543 eV per atom

a b c (Å): 4.9490 4.9490 4.9490
angles (deg): 90.00 90.00 90.00
Space group Pm-3m (No. 221)
One atom of each set of equivalent atoms:
Ge1 0.0000 0.0000 0.0000 (multiplicity 1)
Mo1 0.5000 0.5000 0.5000 (multiplicity 1)
Se1 0.0000 0.0000 0.5000 (multiplicity 3)


AcTmSb2 | PBE | relaxed

**Formation energy (no corrections)**: -1117 meV per atom
**Energy relative to the lowest polymorph listed for this composition**: 0.000 eV per atom

a b c (Å): 4.5766 4.5766 22.3157
angles (deg): 90.00 90.00 120.00
Space group R-3m (No. 166, hexagonal axes)
One atom of each set of equivalent atoms:
Ac1 0.0000 0.0000 0.0000 (multiplicity 3)
Tm1 0.0000 0.0000 0.5000 (multiplicity 3)
Sb1 0.0000 0.0000 0.2411 (multiplicity 6)


AsOsRu2 | PBE | relaxed

**Formation energy**: 0.72 eV/atom

a b c (Å): 5.4996 5.4996 11.0538
angles (deg): 90.00 90.00 90.00
Space group I-42d (No. 122)
One atom of each set of equivalent atoms:
As1 0.0000 0.0000 0.0000 (multiplicity 4)
Os1 0.0000 0.0000 0.5000 (multiplicity 4)
Ru1 0.2471 0.2500 0.6250 (multiplicity 8)